Density functional theory data (PBE-GGA) for a relaxed Pm3NdRh2 crystal.

Properties
Its space group is Ibam. The calculation puts the energy of formation from the pure elements at -270 kJ/mol of formula units. The value obtained for the energy above the most stable polymorph in this dataset is 0.0435 eV per atom. The value obtained for the density of states at the Fermi level is 0.91 states/eV per atom. The total energy is -36.52 eV/f.u. Its total moment is 0.000 μB/atom.

```
data_Pm3NdRh2
_cell_length_a 8.561
_cell_length_b 8.561
_cell_length_c 8.561
_cell_angle_alpha 132.24
_cell_angle_beta 71.65
_cell_angle_gamma 129.98
_space_group_name_H-M_alt 'P 1'
_space_group_IT_number 1
loop_
_space_group_symop_operation_xyz
'x,y,z'
loop_
_atom_site_label
_atom_site_type_symbol
_atom_site_fract_x
_atom_site_fract_y
_atom_site_fract_z
Pm1 Pm 0.016 0.750 0.266
Pm2 Pm 0.250 0.250 0.000
Pm3 Pm 0.484 0.750 0.734
Pm4 Pm 0.516 0.250 0.266
Pm5 Pm 0.750 0.750 0.000
Pm6 Pm 0.984 0.250 0.734
Nd1 Nd 0.000 0.500 0.500
Nd2 Nd 0.500 0.000 0.500
Rh1 Rh 0.138 0.211 0.349
Rh2 Rh 0.362 0.711 0.074
Rh3 Rh 0.638 0.289 0.926
Rh4 Rh 0.862 0.789 0.651
```

***

Density functional theory data (PBE-GGA) for a relaxed InB3C crystal.

Properties
Its space group is Pm-3m. The calculation puts the energy of formation from the pure elements at 1705 kJ/mol of formula units. The value obtained for the energy above the most stable polymorph in this dataset is 1.6150 eV per atom. The value obtained for the density of states at the Fermi level is 0.33 states/eV per atom. The total energy is -14.32 eV/f.u. Its total moment is 0.290 μB/atom.

```
data_InB3C
_cell_length_a 4.479
_cell_length_b 4.479
_cell_length_c 4.479
_cell_angle_alpha 90.00
_cell_angle_beta 90.00
_cell_angle_gamma 90.00
_space_group_name_H-M_alt 'P 1'
_space_group_IT_number 1
loop_
_space_group_symop_operation_xyz
'x,y,z'
loop_
_atom_site_label
_atom_site_type_symbol
_atom_site_fract_x
_atom_site_fract_y
_atom_site_fract_z
In1 In 0.000 0.000 0.000
B1 B 0.000 0.000 0.500
B2 B 0.000 0.500 0.000
B3 B 0.500 0.000 0.000
C1 C 0.500 0.500 0.500
```

***

Density functional theory data (PBE-GGA) for a relaxed AcSb2O8 crystal.

Properties
Its space group is I422. The value obtained for the density of states at the Fermi level is 0.42 states/eV per atom. The total energy is -64.85 eV/f.u. Its total moment is 0.259 μB/atom.

```
data_AcSb2O8
_cell_length_a 7.210
_cell_length_b 7.210
_cell_length_c 7.210
_cell_angle_alpha 139.31
_cell_angle_beta 139.31
_cell_angle_gamma 58.90
_space_group_name_H-M_alt 'P 1'
_space_group_IT_number 1
loop_
_space_group_symop_operation_xyz
'x,y,z'
loop_
_atom_site_label
_atom_site_type_symbol
_atom_site_fract_x
_atom_site_fract_y
_atom_site_fract_z
Ac1 Ac 0.000 0.000 0.000
Sb1 Sb 0.250 0.750 0.500
Sb2 Sb 0.750 0.250 0.500
O1 O 0.075 0.576 0.951
O2 O 0.124 0.075 0.498
O3 O 0.375 0.424 0.498
O4 O 0.424 0.925 0.049
O5 O 0.576 0.625 0.502
O6 O 0.625 0.124 0.049
O7 O 0.876 0.375 0.951
O8 O 0.925 0.876 0.502
```

***

Density functional theory data (PBE-GGA) for a relaxed PmSm5Ho2Er crystal.

Properties
Its space group is Cmc2_1. The calculation puts the energy of formation from the pure elements at 129 kJ/mol of formula units. The value obtained for the density of states at the Fermi level is 1.59 states/eV per atom. The total energy is -40.73 eV/f.u. Its total moment is 0.000 μB/atom.

```
data_PmSm5Ho2Er
_cell_length_a 10.497
_cell_length_b 10.497
_cell_length_c 10.678
_cell_angle_alpha 90.00
_cell_angle_beta 90.00
_cell_angle_gamma 148.90
_space_group_name_H-M_alt 'P 1'
_space_group_IT_number 1
loop_
_space_group_symop_operation_xyz
'x,y,z'
loop_
_atom_site_label
_atom_site_type_symbol
_atom_site_fract_x
_atom_site_fract_y
_atom_site_fract_z
Pm1 Pm 0.201 0.799 0.500
Pm2 Pm 0.799 0.201 0.000
Sm1 Sm 0.017 0.983 0.512
Sm2 Sm 0.281 0.719 0.798
Sm3 Sm 0.299 0.701 0.195
Sm4 Sm 0.391 0.609 0.514
Sm5 Sm 0.480 0.520 0.231
Sm6 Sm 0.520 0.480 0.731
Sm7 Sm 0.609 0.391 0.014
Sm8 Sm 0.701 0.299 0.695
Sm9 Sm 0.719 0.281 0.298
Sm10 Sm 0.983 0.017 0.012
Ho1 Ho 0.110 0.890 0.227
Ho2 Ho 0.115 0.885 0.807
Ho3 Ho 0.885 0.115 0.307
Ho4 Ho 0.890 0.110 0.727
Er1 Er 0.411 0.589 0.948
Er2 Er 0.589 0.411 0.448
```

***

Density functional theory data (PBE-GGA) for a relaxed BeCu2Tc crystal.

Properties
Its space group is P4/mmm. The calculation puts the energy of formation from the pure elements at 122 kJ/mol of formula units. The value obtained for the density of states at the Fermi level is 0.56 states/eV per atom. The total energy is -21.02 eV/f.u. Its total moment is 0.000 μB/atom.

```
data_BeCu2Tc
_cell_length_a 4.306
_cell_length_b 4.306
_cell_length_c 2.645
_cell_angle_alpha 90.00
_cell_angle_beta 90.00
_cell_angle_gamma 90.00
_space_group_name_H-M_alt 'P 1'
_space_group_IT_number 1
loop_
_space_group_symop_operation_xyz
'x,y,z'
loop_
_atom_site_label
_atom_site_type_symbol
_atom_site_fract_x
_atom_site_fract_y
_atom_site_fract_z
Be1 Be 0.000 0.000 0.000
Cu1 Cu 0.000 0.500 0.500
Cu2 Cu 0.500 0.000 0.500
Tc1 Tc 0.500 0.500 0.000
```

***

Density functional theory data (PBE-GGA) for a relaxed RbPuTe3 crystal.

Properties
Its space group is Pm-3m. The value obtained for the energy above the most stable polymorph in this dataset is 0.0000 eV per atom. The value obtained for the density of states at the Fermi level is 1.35 states/eV per atom. The total energy is -28.63 eV/f.u. Its total moment is 0.634 μB/atom.

```
data_RbPuTe3
_cell_length_a 5.916
_cell_length_b 5.916
_cell_length_c 5.916
_cell_angle_alpha 90.00
_cell_angle_beta 90.00
_cell_angle_gamma 90.00
_space_group_name_H-M_alt 'P 1'
_space_group_IT_number 1
loop_
_space_group_symop_operation_xyz
'x,y,z'
loop_
_atom_site_label
_atom_site_type_symbol
_atom_site_fract_x
_atom_site_fract_y
_atom_site_fract_z
Rb1 Rb 0.000 0.000 0.000
Pu1 Pu 0.500 0.500 0.500
Te1 Te 0.000 0.500 0.500
Te2 Te 0.500 0.000 0.500
Te3 Te 0.500 0.500 0.000
```

***

Density functional theory data (PBE-GGA) for a relaxed KAc2Ni crystal.

Properties
Its space group is R-3m. The calculation puts the energy of formation from the pure elements at -14 kJ/mol of formula units. The value obtained for the density of states at the Fermi level is 0.81 states/eV per atom. The total energy is -15.24 eV/f.u. Its total moment is 0.000 μB/atom.

```
data_KAc2Ni
_cell_length_a 12.026
_cell_length_b 12.026
_cell_length_c 12.026
_cell_angle_alpha 20.65
_cell_angle_beta 20.65
_cell_angle_gamma 20.65
_space_group_name_H-M_alt 'P 1'
_space_group_IT_number 1
loop_
_space_group_symop_operation_xyz
'x,y,z'
loop_
_atom_site_label
_atom_site_type_symbol
_atom_site_fract_x
_atom_site_fract_y
_atom_site_fract_z
K1 K 0.000 0.000 0.000
Ac1 Ac 0.123 0.123 0.123
Ac2 Ac 0.877 0.877 0.877
Ni1 Ni 0.500 0.500 0.500
```

***

Density functional theory data (PBE-GGA) for a relaxed KFeS2Cl crystal.

Properties
Its space group is P4/mmm. The value obtained for the energy above the most stable polymorph in this dataset is 0.0000 eV per atom. The value obtained for the density of states at the Fermi level is 1.08 states/eV per atom. The total energy is -22.03 eV/f.u. Its total moment is 0.000 μB/atom.

```
data_KFeS2Cl
_cell_length_a 4.352
_cell_length_b 4.352
_cell_length_c 5.639
_cell_angle_alpha 90.00
_cell_angle_beta 90.00
_cell_angle_gamma 90.00
_space_group_name_H-M_alt 'P 1'
_space_group_IT_number 1
loop_
_space_group_symop_operation_xyz
'x,y,z'
loop_
_atom_site_label
_atom_site_type_symbol
_atom_site_fract_x
_atom_site_fract_y
_atom_site_fract_z
K1 K 0.000 0.000 0.000
Fe1 Fe 0.500 0.500 0.500
S1 S 0.000 0.500 0.500
S2 S 0.500 0.000 0.500
Cl1 Cl 0.500 0.500 0.000
```

***

Density functional theory data (PBE-GGA) for a relaxed Y2GaCo crystal.

Properties
Its space group is I-42d. The calculation puts the energy of formation from the pure elements at 18 kJ/mol of formula units. The value obtained for the density of states at the Fermi level is 0.71 states/eV per atom. The total energy is -22.87 eV/f.u. Its total moment is 0.000 μB/atom.

```
data_Y2GaCo
_cell_length_a 6.226
_cell_length_b 6.226
_cell_length_c 6.226
_cell_angle_alpha 105.36
_cell_angle_beta 105.36
_cell_angle_gamma 118.05
_space_group_name_H-M_alt 'P 1'
_space_group_IT_number 1
loop_
_space_group_symop_operation_xyz
'x,y,z'
loop_
_atom_site_label
_atom_site_type_symbol
_atom_site_fract_x
_atom_site_fract_y
_atom_site_fract_z
Y1 Y 0.081 0.625 0.956
Y2 Y 0.375 0.331 0.456
Y3 Y 0.669 0.125 0.044
Y4 Y 0.875 0.919 0.544
Ga1 Ga 0.250 0.750 0.500
Ga2 Ga 0.500 0.500 0.000
Co1 Co 0.000 0.000 0.000
Co2 Co 0.750 0.250 0.500
```

***

Density functional theory data (PBE-GGA) for a relaxed AcLa2Pd crystal.

Properties
Its space group is Pnma. The calculation puts the energy of formation from the pure elements at -164 kJ/mol of formula units. The value obtained for the energy above the most stable polymorph in this dataset is 0.0000 eV per atom. The value obtained for the density of states at the Fermi level is 1.37 states/eV per atom. The total energy is -20.86 eV/f.u. Its total moment is 0.000 μB/atom.

```
data_AcLa2Pd
_cell_length_a 7.534
_cell_length_b 10.552
_cell_length_c 6.775
_cell_angle_alpha 90.00
_cell_angle_beta 90.00
_cell_angle_gamma 90.00
_space_group_name_H-M_alt 'P 1'
_space_group_IT_number 1
loop_
_space_group_symop_operation_xyz
'x,y,z'
loop_
_atom_site_label
_atom_site_type_symbol
_atom_site_fract_x
_atom_site_fract_y
_atom_site_fract_z
Ac1 Ac 0.028 0.250 0.148
Ac2 Ac 0.472 0.750 0.648
Ac3 Ac 0.528 0.250 0.352
Ac4 Ac 0.972 0.750 0.852
La1 La 0.177 0.062 0.665
La2 La 0.177 0.438 0.665
La3 La 0.323 0.562 0.165
La4 La 0.323 0.938 0.165
La5 La 0.677 0.062 0.835
La6 La 0.677 0.438 0.835
La7 La 0.823 0.562 0.335
La8 La 0.823 0.938 0.335
Pd1 Pd 0.117 0.750 0.405
Pd2 Pd 0.383 0.250 0.905
Pd3 Pd 0.617 0.750 0.095
Pd4 Pd 0.883 0.250 0.595
```

***

Density functional theory data (PBE-GGA) for a relaxed Y4IrPd2 crystal.

Properties
Its space group is R-3m. The calculation puts the energy of formation from the pure elements at -499 kJ/mol of formula units. The value obtained for the density of states at the Fermi level is 0.58 states/eV per atom. The total energy is -50.28 eV/f.u. Its total moment is 0.000 μB/atom.

```
data_Y4IrPd2
_cell_length_a 8.552
_cell_length_b 8.552
_cell_length_c 8.552
_cell_angle_alpha 33.31
_cell_angle_beta 33.31
_cell_angle_gamma 33.31
_space_group_name_H-M_alt 'P 1'
_space_group_IT_number 1
loop_
_space_group_symop_operation_xyz
'x,y,z'
loop_
_atom_site_label
_atom_site_type_symbol
_atom_site_fract_x
_atom_site_fract_y
_atom_site_fract_z
Y1 Y 0.123 0.123 0.123
Y2 Y 0.373 0.373 0.373
Y3 Y 0.627 0.627 0.627
Y4 Y 0.877 0.877 0.877
Ir1 Ir 0.000 0.000 0.000
Pd1 Pd 0.249 0.249 0.249
Pd2 Pd 0.751 0.751 0.751
```

***

Density functional theory data (PBE-GGA) for a relaxed YHoCdAu crystal.

Properties
Its space group is P4mm. The calculation puts the energy of formation from the pure elements at -232 kJ/mol of formula units. The value obtained for the energy above the most stable polymorph in this dataset is 0.0000 eV per atom. The value obtained for the density of states at the Fermi level is 0.76 states/eV per atom. The total energy is -17.64 eV/f.u. Its total moment is 0.000 μB/atom.

```
data_YHoCdAu
_cell_length_a 3.677
_cell_length_b 3.677
_cell_length_c 7.273
_cell_angle_alpha 90.00
_cell_angle_beta 90.00
_cell_angle_gamma 90.00
_space_group_name_H-M_alt 'P 1'
_space_group_IT_number 1
loop_
_space_group_symop_operation_xyz
'x,y,z'
loop_
_atom_site_label
_atom_site_type_symbol
_atom_site_fract_x
_atom_site_fract_y
_atom_site_fract_z
Y1 Y 0.000 0.000 0.000
Ho1 Ho 0.000 0.000 0.526
Cd1 Cd 0.500 0.500 0.265
Au1 Au 0.500 0.500 0.755
```

***

What did the eighth record say?
Density functional theory data (PBE-GGA) for a relaxed KFeS2Cl crystal.

Properties
Its space group is P4/mmm. The value obtained for the energy above the most stable polymorph in this dataset is 0.0000 eV per atom. The value obtained for the density of states at the Fermi level is 1.08 states/eV per atom. The total energy is -22.03 eV/f.u. Its total moment is 0.000 μB/atom.

```
data_KFeS2Cl
_cell_length_a 4.352
_cell_length_b 4.352
_cell_length_c 5.639
_cell_angle_alpha 90.00
_cell_angle_beta 90.00
_cell_angle_gamma 90.00
_space_group_name_H-M_alt 'P 1'
_space_group_IT_number 1
loop_
_space_group_symop_operation_xyz
'x,y,z'
loop_
_atom_site_label
_atom_site_type_symbol
_atom_site_fract_x
_atom_site_fract_y
_atom_site_fract_z
K1 K 0.000 0.000 0.000
Fe1 Fe 0.500 0.500 0.500
S1 S 0.000 0.500 0.500
S2 S 0.500 0.000 0.500
Cl1 Cl 0.500 0.500 0.000
```

***

The highest total energy belongs to which entry?
InB3C

***

Repeat the first record exactly.
Density functional theory data (PBE-GGA) for a relaxed Pm3NdRh2 crystal.

Properties
Its space group is Ibam. The calculation puts the energy of formation from the pure elements at -270 kJ/mol of formula units. The value obtained for the energy above the most stable polymorph in this dataset is 0.0435 eV per atom. The value obtained for the density of states at the Fermi level is 0.91 states/eV per atom. The total energy is -36.52 eV/f.u. Its total moment is 0.000 μB/atom.

```
data_Pm3NdRh2
_cell_length_a 8.561
_cell_length_b 8.561
_cell_length_c 8.561
_cell_angle_alpha 132.24
_cell_angle_beta 71.65
_cell_angle_gamma 129.98
_space_group_name_H-M_alt 'P 1'
_space_group_IT_number 1
loop_
_space_group_symop_operation_xyz
'x,y,z'
loop_
_atom_site_label
_atom_site_type_symbol
_atom_site_fract_x
_atom_site_fract_y
_atom_site_fract_z
Pm1 Pm 0.016 0.750 0.266
Pm2 Pm 0.250 0.250 0.000
Pm3 Pm 0.484 0.750 0.734
Pm4 Pm 0.516 0.250 0.266
Pm5 Pm 0.750 0.750 0.000
Pm6 Pm 0.984 0.250 0.734
Nd1 Nd 0.000 0.500 0.500
Nd2 Nd 0.500 0.000 0.500
Rh1 Rh 0.138 0.211 0.349
Rh2 Rh 0.362 0.711 0.074
Rh3 Rh 0.638 0.289 0.926
Rh4 Rh 0.862 0.789 0.651
```

***

Please write out number 4 again, unchanged.
Density functional theory data (PBE-GGA) for a relaxed PmSm5Ho2Er crystal.

Properties
Its space group is Cmc2_1. The calculation puts the energy of formation from the pure elements at 129 kJ/mol of formula units. The value obtained for the density of states at the Fermi level is 1.59 states/eV per atom. The total energy is -40.73 eV/f.u. Its total moment is 0.000 μB/atom.

```
data_PmSm5Ho2Er
_cell_length_a 10.497
_cell_length_b 10.497
_cell_length_c 10.678
_cell_angle_alpha 90.00
_cell_angle_beta 90.00
_cell_angle_gamma 148.90
_space_group_name_H-M_alt 'P 1'
_space_group_IT_number 1
loop_
_space_group_symop_operation_xyz
'x,y,z'
loop_
_atom_site_label
_atom_site_type_symbol
_atom_site_fract_x
_atom_site_fract_y
_atom_site_fract_z
Pm1 Pm 0.201 0.799 0.500
Pm2 Pm 0.799 0.201 0.000
Sm1 Sm 0.017 0.983 0.512
Sm2 Sm 0.281 0.719 0.798
Sm3 Sm 0.299 0.701 0.195
Sm4 Sm 0.391 0.609 0.514
Sm5 Sm 0.480 0.520 0.231
Sm6 Sm 0.520 0.480 0.731
Sm7 Sm 0.609 0.391 0.014
Sm8 Sm 0.701 0.299 0.695
Sm9 Sm 0.719 0.281 0.298
Sm10 Sm 0.983 0.017 0.012
Ho1 Ho 0.110 0.890 0.227
Ho2 Ho 0.115 0.885 0.807
Ho3 Ho 0.885 0.115 0.307
Ho4 Ho 0.890 0.110 0.727
Er1 Er 0.411 0.589 0.948
Er2 Er 0.589 0.411 0.448
```